No. 1
VASP calculation (GGA-PBE) on a geometry-optimized TlCd2Cu2 structure.

Unit cell a=9.2245 b=9.2245 c=9.2245 alpha=158.47 beta=158.47 gamma=30.63
Closest atoms and distances in Å follow each position.
Fractional coordinates of all 5 atoms:
1 Tl 0.0000 0.0000 0.0000  8 Cd 3.33, 4 Tl 3.45
2 Cd 0.3722 0.3722 0.0000  4 Cu 2.77
3 Cd 0.6278 0.6278 0.0000  4 Cu 2.77
4 Cu 0.2500 0.7500 0.5000  4 Cu 2.44
5 Cu 0.7500 0.2500 0.5000  4 Cu 2.44

Computed properties:
The formation energy comes out at 145 meV per atom. As for the space group: I4/mmm. The magnetic moment is 0.0 μB per formula unit. As for the energy relative to the lowest polymorph listed for this composition: 11 meV per atom.



No. 2
VASP calculation (GGA-PBE) on a geometry-optimized K2CuNi structure.

Unit cell a=5.7604 b=5.7604 c=5.7604 alpha=132.39 beta=132.00 gamma=69.92
Closest atoms and distances in Å follow each position.
Fractional coordinates of all 4 atoms:
1 K 0.2502 0.2502 0.0000  4 K 3.30, 4 Cu 3.31-3.33, 4 Ni 3.31-3.32
2 K 0.7498 0.7498 0.0000  4 K 3.30, 4 Cu 3.31-3.33, 4 Ni 3.31-3.32
3 Cu 0.5000 0.0000 0.5000  4 Ni 3.30, 8 K 3.31-3.33
4 Ni 0.0000 0.5000 0.5000  4 Cu 3.30, 8 K 3.31-3.32

Computed properties:
The formation energy comes out at 803 meV per atom. As for the space group: Immm. The magnetic moment is 0.3 μB per formula unit. As for the energy relative to the lowest polymorph listed for this composition: 427 meV per atom.



magnetic moment of number 2 (K2CuNi)?
0.3 μB per formula unit



Which value of magnetic moment does entry 1 give?
0.0 μB per formula unit



Which of these has the highest formation energy?
K2CuNi